Here is a relaxed structure of RbTmCoO3 from OQMD via LeMat-Bulk. Energies are from PBE with a Hubbard U.

Its total energy is -152.80 eV per cell.

The space group is Cmcm (No. 63) and the conventional cell measures 3.458, 12.484 and 8.934 Å, with angles of 90.00, 90.00 and 90.00 degrees. The distinct sites, in fractional coordinates, are Rb at (0.000, 0.222, 0.250), Tm at (0.000, 0.500, 0.000), Co at (0.000, 0.055, 0.750), O at (0.000, 0.110, 0.551) and O at (0.000, 0.467, 0.750).